# 1
# Rb3HF

A relaxed structure of Rb3HF (PBE, Alexandria via LeMat-Bulk).

Lattice parameters (Å, degrees): 5.7130 5.7130 5.7130 90.00 90.00 90.00
Closest atoms and distances in Å follow each position.
Fractional coordinates of all 5 atoms:
F: 0.0000 0.0000 0.0000  6 Rb 2.86
H: 0.5000 0.5000 0.5000  12 Rb 4.04
Rb: 0.0000 0.0000 0.5000  2 F 2.86
Rb: 0.5000 0.0000 0.0000  2 F 2.86
Rb: 0.0000 0.5000 0.0000  2 F 2.86

Output
* energy above the most stable polymorph in this dataset: 0 meV/atom

# 2
# Rb2HF2

A relaxed structure of Rb2HF2 (PBE, Alexandria via LeMat-Bulk).

Lattice parameters (Å, degrees): 3.7156 7.3985 7.7588 90.00 103.85 90.00
Closest atoms and distances in Å follow each position.
Fractional coordinates of all 10 atoms:
Rb: 0.9829 0.7643 0.9657  4 F 2.81-2.93
Rb: 0.0171 0.2643 0.0343  4 F 2.81-2.93
Rb: 0.2153 0.6429 0.4306  1 H 2.66, 3 F 2.76-2.78
Rb: 0.7847 0.1429 0.5694  1 H 2.66, 3 F 2.76-2.78
H: 0.3689 0.4667 0.7379  2 F 1.87
H: 0.6311 0.9667 0.2621  2 F 1.87
F: 0.4037 0.0054 0.8074  4 Rb 2.78-2.84
F: 0.1440 0.9862 0.2880  2 H 1.87
F: 0.8560 0.4862 0.7120  2 H 1.87
F: 0.5963 0.5054 0.1926  4 Rb 2.78-2.84

# 3
# Rb5HF6

A relaxed structure of Rb5HF6 (PBE, Alexandria via LeMat-Bulk).

Lattice parameters (Å, degrees): 6.7765 7.2843 6.9406 58.35 85.86 82.09
Closest atoms and distances in Å follow each position.
Fractional coordinates of all 12 atoms:
Rb: 0.0000 0.2401 0.5199  4 F 2.74-2.84, 1 H 2.84
Rb: 0.0000 0.7599 0.4801  4 F 2.74-2.84, 1 H 2.84
Rb: 0.5000 0.1554 0.6891  4 F 2.70-2.82
Rb: 0.5000 0.8446 0.3109  4 F 2.70-2.82
Rb: 0.5000 0.5000 0.0000  4 F 2.83
F: 0.8572 0.9284 0.0000  1 H 1.16
F: 0.1428 0.0716 0.0000  1 H 1.16
F: 0.2885 0.8739 0.6408  5 Rb 2.70-2.84
F: 0.2885 0.5147 0.3592  5 Rb 2.70-2.84
F: 0.7115 0.4853 0.6408  5 Rb 2.70-2.84
F: 0.7115 0.1261 0.3592  5 Rb 2.70-2.84
H: 0.0000 0.0000 0.0000  2 F 1.16

# 4
# Rb4HF3

A relaxed structure of Rb4HF3 (PBE, Alexandria via LeMat-Bulk).

Lattice parameters (Å, degrees): 5.7845 5.7845 5.7845 90.00 90.00 90.00
Closest atoms and distances in Å follow each position.
Fractional coordinates of all 8 atoms:
F: 0.0000 0.5000 0.5000  6 Rb 2.89
F: 0.5000 0.5000 0.0000  6 Rb 2.89
F: 0.5000 0.0000 0.5000  6 Rb 2.89
Rb: 0.0000 0.0000 0.5000  4 F 2.89, 2 H 2.89
Rb: 0.5000 0.0000 0.0000  4 F 2.89, 2 H 2.89
Rb: 0.5000 0.5000 0.5000  6 F 2.89
Rb: 0.0000 0.5000 0.0000  4 F 2.89, 2 H 2.89
H: 0.0000 0.0000 0.0000  6 Rb 2.89

# 5
# RbH2F3

A relaxed structure of RbH2F3 (PBE, Alexandria via LeMat-Bulk).

Lattice parameters (Å, degrees): 4.3120 4.9793 7.7124 90.00 90.00 90.00
Closest atoms and distances in Å follow each position.
Fractional coordinates of all 12 atoms:
F: 0.8307 0.0000 0.2698  1 H 1.04
F: 0.1693 0.5000 0.7698  1 H 1.04
F: 0.8307 0.0000 0.7302  1 H 1.04
F: 0.1693 0.5000 0.2302  1 H 1.04
F: 0.8160 0.5000 0.0000  2 H 1.30
F: 0.1840 0.0000 0.5000  2 H 1.30
H: 0.9979 0.0000 0.6324  1 F 1.04
H: 0.9979 0.0000 0.3676  1 F 1.04
H: 0.0021 0.5000 0.1324  1 F 1.04
H: 0.0021 0.5000 0.8676  1 F 1.04
Rb: 0.6085 0.5000 0.5000  4 F 2.81-3.09
Rb: 0.3915 0.0000 0.0000  4 F 2.81-3.09

# 6
# RbHF2

A relaxed structure of RbHF2 (PBE, Alexandria via LeMat-Bulk).

Lattice parameters (Å, degrees): 5.5901 5.5901 5.5901 115.80 115.46 97.75
Closest atoms and distances in Å follow each position.
Fractional coordinates of all 8 atoms:
Rb: 0.6114 0.5000 0.1114  8 F 2.95
Rb: 0.1114 0.0000 0.1114  8 F 2.95
H: 0.8612 0.2497 0.6109  2 F 1.15
H: 0.3612 0.7503 0.6115  2 F 1.15
F: 0.4985 0.6139 0.6124  1 H 1.15
F: 0.2238 0.8869 0.6107  1 H 1.15
F: 0.9985 0.3861 0.8847  1 H 1.15
F: 0.7238 0.1131 0.3370  1 H 1.15

Which uncorrected energy belongs to each record? In order, -2.45, -3.39, -4.06, -3.65, -4.29, -4.30 eV/atom.
Which D(E_F) belongs to each record? In order, 0.7385, 0.0738, 0.0000, 0.0000, 0.0000, 0.0000 states/eV/atom.